No. 1
Entry from Alexandria: a relaxed structure of SmNb2O6 (GGA-PBE).

a b c (Å): 7.1838 7.1838 7.1838
angles (deg): 145.25 145.25 49.96
Atoms (fractional coordinates):
Sm: 0.0000 0.0000 0.0000
Nb: 0.2500 0.7500 0.5000
Nb: 0.7500 0.2500 0.5000
O: 0.1038 0.6038 0.5000
O: 0.2449 0.2449 0.0000
O: 0.3962 0.8962 0.5000
O: 0.6038 0.1038 0.5000
O: 0.7551 0.7551 0.0000
O: 0.8962 0.3962 0.5000

## Properties
Formation energy (no corrections), eV/atom: -2.57
Calculated volume, Å³ per cell: 120

=====

No. 2
Entry from Alexandria: a relaxed structure of MgCd2Pt (GGA-PBE).

a b c (Å): 3.6248 3.6248 5.8121
angles (deg): 90.00 90.00 90.00
Atoms (fractional coordinates):
Mg: 0.0000 0.0000 0.0000
Cd: 0.5000 0.5000 0.2606
Cd: 0.5000 0.5000 0.7394
Pt: 0.0000 0.0000 0.5000

## Properties
Calculated volume, Å³ per cell: 76
E_form, eV/atom: -0.250

=====

No. 3
Entry from Alexandria: a relaxed structure of SrTcAu2 (GGA-PBE).

a b c (Å): 9.9026 9.9026 9.9026
angles (deg): 18.02 18.02 18.02
Atoms (fractional coordinates):
Sr: 0.0000 0.0000 0.0000
Tc: 0.5000 0.5000 0.5000
Au: 0.2412 0.2412 0.2412
Au: 0.7588 0.7588 0.7588

## Properties
Calculated volume, Å³ per cell: 81
E_form, eV/atom: 0.578
Energy relative to the lowest polymorph listed for this composition, eV per atom: 0.5417

=====

No. 4
Entry from Alexandria: a relaxed structure of Ca2Cd15Hg2 (GGA-PBE).

a b c (Å): 7.7384 7.7384 7.7384
angles (deg): 82.99 82.99 82.99
Atoms (fractional coordinates):
Ca: 0.1658 0.1658 0.1658
Ca: 0.8342 0.8342 0.8342
Cd: 0.0000 0.5000 0.5000
Cd: 0.1396 0.1396 0.6646
Cd: 0.1396 0.6646 0.1396
Cd: 0.1986 0.5000 0.8014
Cd: 0.1986 0.8014 0.5000
Cd: 0.3354 0.8604 0.8604
Cd: 0.5000 0.0000 0.5000
Cd: 0.5000 0.1986 0.8014
Cd: 0.5000 0.5000 0.0000
Cd: 0.5000 0.8014 0.1986
Cd: 0.6646 0.1396 0.1396
Cd: 0.8014 0.1986 0.5000
Cd: 0.8014 0.5000 0.1986
Cd: 0.8604 0.3354 0.8604
Cd: 0.8604 0.8604 0.3354
Hg: 0.3899 0.3899 0.3899
Hg: 0.6101 0.6101 0.6101

## Properties
Calculated volume, Å³ per cell: 454
E_form, eV/atom: -0.125

=====

No. 5
Entry from Alexandria: a relaxed structure of LaRuCl3 (GGA-PBE).

a b c (Å): 4.7798 4.7798 4.7798
angles (deg): 90.00 90.00 90.00
Atoms (fractional coordinates):
La: 0.0000 0.0000 0.0000
Ru: 0.5000 0.5000 0.5000
Cl: 0.0000 0.5000 0.5000
Cl: 0.5000 0.0000 0.5000
Cl: 0.5000 0.5000 0.0000

## Properties
Formation energy (no corrections), eV/atom: -0.68
Calculated volume, Å³ per cell: 109
Energy relative to the lowest polymorph listed for this composition, eV per atom: 0.0000

=====

No. 6
Entry from Alexandria: a relaxed structure of NaPm2HoS4 (GGA-PBE).

a b c (Å): 6.9188 3.9796 6.9259
angles (deg): 90.00 109.17 90.00
Atoms (fractional coordinates):
Na: 0.0000 0.0000 0.0000
Pm: 0.0000 0.5000 0.5000
Pm: 0.5000 0.0000 0.5000
Ho: 0.5000 0.5000 0.0000
S: 0.2547 0.5000 0.2456
S: 0.2569 0.0000 0.7610
S: 0.7431 0.0000 0.2390
S: 0.7453 0.5000 0.7544

## Properties
Formation energy (no corrections), eV/atom: -1.91
Calculated volume, Å³ per cell: 180

=====

No. 7
Entry from Alexandria: a relaxed structure of La12TlPb3 (GGA-PBE).

a b c (Å): 5.0804 5.0804 20.2637
angles (deg): 90.00 90.00 90.00
Atoms (fractional coordinates):
La: 0.0000 0.0000 0.0000
La: 0.0000 0.0000 0.2501
La: 0.0000 0.0000 0.5000
La: 0.0000 0.0000 0.7499
La: 0.0000 0.5000 0.1254
La: 0.0000 0.5000 0.3752
La: 0.0000 0.5000 0.6248
La: 0.0000 0.5000 0.8746
La: 0.5000 0.0000 0.1254
La: 0.5000 0.0000 0.3752
La: 0.5000 0.0000 0.6248
La: 0.5000 0.0000 0.8746
Tl: 0.5000 0.5000 0.0000
Pb: 0.5000 0.5000 0.2494
Pb: 0.5000 0.5000 0.5000
Pb: 0.5000 0.5000 0.7506

## Properties
Calculated volume, Å³ per cell: 523
E_form, eV/atom: -0.353

=====

No. 8
Entry from Alexandria: a relaxed structure of Mg5Cd2In12 (GGA-PBE).

a b c (Å): 8.5133 8.5133 7.2839
angles (deg): 90.46 90.46 65.89
Atoms (fractional coordinates):
Mg: 0.0000 0.0000 0.0000
Mg: 0.2429 0.2429 0.9896
Mg: 0.3457 0.3457 0.4078
Mg: 0.6543 0.6543 0.5922
Mg: 0.7571 0.7571 0.0104
Cd: 0.2424 0.7576 0.5000
Cd: 0.7576 0.2424 0.5000
In: 0.0412 0.5711 0.7010
In: 0.1398 0.1398 0.6012
In: 0.1593 0.6306 0.1063
In: 0.3694 0.8407 0.8937
In: 0.4289 0.9588 0.2990
In: 0.4489 0.4489 0.7861
In: 0.5511 0.5511 0.2139
In: 0.5711 0.0412 0.7010
In: 0.6306 0.1593 0.1063
In: 0.8407 0.3694 0.8937
In: 0.8602 0.8602 0.3988
In: 0.9588 0.4289 0.2990

## Properties
Calculated volume, Å³ per cell: 482
E_form, eV/atom: -0.007
Energy relative to the lowest polymorph listed for this composition, eV per atom: 0.0000

=====

No. 9
Entry from Alexandria: a relaxed structure of Ce2ThTl (GGA-PBE).

a b c (Å): 5.4802 5.4802 5.4802
angles (deg): 60.00 60.00 60.00
Atoms (fractional coordinates):
Ce: 0.2500 0.2500 0.2500
Ce: 0.7500 0.7500 0.7500
Th: 0.0000 0.0000 0.0000
Tl: 0.5000 0.5000 0.5000

## Properties
Calculated volume, Å³ per cell: 116
E_form, eV/atom: 0.073
Energy relative to the lowest polymorph listed for this composition, eV per atom: 0.1606

=====

No. 10
Entry from Alexandria: a relaxed structure of Ca2TcSb (GGA-PBE).

a b c (Å): 9.9807 9.9807 9.9807
angles (deg): 19.72 19.72 19.72
Atoms (fractional coordinates):
Ca: 0.2430 0.2430 0.2430
Ca: 0.7570 0.7570 0.7570
Tc: 0.5000 0.5000 0.5000
Sb: 0.0000 0.0000 0.0000

## Properties
Formation energy (no corrections), eV/atom: 0.23
Calculated volume, Å³ per cell: 99